(1)
K7AuI2O2: optimized geometry, PBE.

The structure belongs to space group Imm2 (No. 44); the cell edges are 4.7491, 25.5925 and 7.3768 Å and the angles 90.00°, 90.00° and 90.00°. Symmetry generates all atoms from K at (0.0000, 0.0000, 0.0000), K at (0.0000, 0.0802, 0.5581), K at (0.0000, 0.1992, 0.8392), K at (0.0000, 0.3898, 0.5446), Au at (0.0000, 0.5000, 0.8502), I at (0.0000, 0.2001, 0.3387) and O at (0.0000, 0.0982, 0.8846).

The value obtained for the energy relative to the elements, uncorrected is -1.021 eV per atom.



(2)
NbBiI: optimized geometry, PBE.

The structure belongs to space group Cm (No. 8); the cell edges are 15.4903, 3.5276 and 6.5412 Å and the angles 90.00°, 94.27° and 90.00°. Symmetry generates all atoms from Nb at (0.0000, 0.0000, 0.0000), Nb at (0.0972, 0.5000, 0.2780), Bi at (0.1366, 0.5000, 0.8446), Bi at (0.3501, 0.0000, 0.9022), I at (0.2405, 0.0000, 0.3503) and I at (0.4740, 0.5000, 0.4238).

The value obtained for the energy relative to the elements, uncorrected is 0.045 eV per atom.



(3)
CsGaSiO4: optimized geometry, PBE.

The structure belongs to space group P2_1/m (No. 11); the cell edges are 5.1658, 5.2695 and 9.8226 Å and the angles 90.00°, 92.23° and 90.00°. Symmetry generates all atoms from Cs at (0.2214, 0.2500, 0.3578), Ga at (0.1400, 0.7500, 0.0199), Si at (0.2847, 0.2500, 0.8091), O at (0.1215, 0.0171, 0.8894), O at (0.2352, 0.2500, 0.6492) and O at (0.4106, 0.7500, 0.1421).

The value obtained for the energy relative to the elements, uncorrected is -2.219 eV per atom.



(4)
Cu2Mo3Se4: optimized geometry, PBE.

The structure belongs to space group P-1 (No. 2); the cell edges are 6.9130, 6.9411 and 8.0388 Å and the angles 74.76°, 76.01° and 85.99°. Symmetry generates all atoms from Cu at (0.1318, 0.2341, 0.4218), Cu at (0.2329, 0.8669, 0.4828), Mo at (0.0012, 0.0000, 0.2357), Mo at (0.0760, 0.7226, 0.0437), Mo at (0.2753, 0.0733, 0.9233), Se at (0.1892, 0.3467, 0.6612), Se at (0.2060, 0.3369, 0.1053), Se at (0.3405, 0.7936, 0.2002) and Se at (0.3440, 0.8031, 0.7499).

The value obtained for the energy relative to the elements, uncorrected is -0.393 eV per atom.



(5)
PuNiOs: optimized geometry, PBE.

The structure belongs to space group Imma (No. 74); the cell edges are 5.0577, 5.2206 and 7.5333 Å and the angles 90.00°, 90.00° and 90.00°. Symmetry generates all atoms from Pu at (0.0000, 0.2500, 0.1257), Ni at (0.2500, 0.2500, 0.7500) and Os at (0.0000, 0.0000, 0.5000).

The value obtained for the offset from the most stable computed form is 0 meV/atom. The formation enthalpy at 0 K is -187.6 meV per atom.



(6)
SrAc3La: optimized geometry, PBE.

The structure belongs to space group Cmcm (No. 63); the cell edges are 7.3854, 19.8057 and 7.0342 Å and the angles 90.00°, 90.00° and 90.00°. Symmetry generates all atoms from Sr at (0.0000, 0.1838, 0.2500), Ac at (0.0000, 0.0000, 0.0000), Ac at (0.2437, 0.3651, 0.2500) and La at (0.0000, 0.4592, 0.7500).

The value obtained for the offset from the most stable computed form is 6 meV/atom. The formation enthalpy at 0 K is 340.0 meV per atom.



(7)
AuC2: optimized geometry, PBE.

The structure belongs to space group P4/mmm (No. 123); the cell edges are 2.4651, 2.4651 and 7.7682 Å and the angles 90.00°, 90.00° and 90.00°. Symmetry generates all atoms from Au at (0.0000, 0.0000, 0.0000) and C at (0.0000, 0.5000, 0.5000).

The value obtained for the offset from the most stable computed form is 1960 meV/atom. The formation enthalpy at 0 K is 2225.7 meV per atom.



(8)
Y4In2Ag: optimized geometry, PBE.

The structure belongs to space group R-3m (No. 166, hexagonal axes); the cell edges are 5.2343, 5.2343 and 25.5382 Å and the angles 90.00°, 90.00° and 120.00°. Symmetry generates all atoms from Y at (0.0000, 0.0000, 0.1233), Y at (0.0000, 0.0000, 0.3739), In at (0.0000, 0.0000, 0.2509) and Ag at (0.0000, 0.0000, 0.5000).

The formation enthalpy at 0 K is -307.3 meV per atom.



(9)
Sn2BiS4: optimized geometry, PBE.

The structure belongs to space group R-3m (No. 166, hexagonal axes); the cell edges are 4.0000, 4.0000 and 39.1529 Å and the angles 90.00°, 90.00° and 120.00°. Symmetry generates all atoms from Sn at (0.0000, 0.0000, 0.2377), Bi at (0.0000, 0.0000, 0.0000), S at (0.0000, 0.0000, 0.1296) and S at (0.0000, 0.0000, 0.3759).

The value obtained for the energy relative to the elements, uncorrected is -0.317 eV per atom. The value obtained for the offset from the most stable computed form is 8 meV/atom.



(10)
Pm3Np5O12: optimized geometry, PBE.

The structure belongs to space group Ia-3d (No. 230); the cell edges are 13.7311, 13.7311 and 13.7311 Å and the angles 90.00°, 90.00° and 90.00°. Symmetry generates all atoms from Pm at (0.0000, 0.2500, 0.1250), Np at (0.0000, 0.0000, 0.0000), Np at (0.0000, 0.2500, 0.3750) and O at (0.0206, 0.0662, 0.6524).

The value obtained for the energy relative to the elements, uncorrected is -2.847 eV per atom.



(11)
RbHoCdF6: optimized geometry, PBE.

The structure belongs to space group Imma (No. 74); the cell edges are 7.9735, 8.3074 and 11.7806 Å and the angles 90.00°, 90.00° and 90.00°. Symmetry generates all atoms from Rb at (0.0000, 0.2500, 0.0621), Ho at (0.0000, 0.0000, 0.5000), Cd at (0.2500, 0.2500, 0.7500), F at (0.0000, 0.2500, 0.4410), F at (0.0000, 0.2500, 0.8295) and F at (0.2001, 0.0539, 0.6180).

The value obtained for the energy relative to the elements, uncorrected is -3.165 eV per atom.



(12)
PmNd2Sm3Se6: optimized geometry, PBE.

The structure belongs to space group C2/m (No. 12); the cell edges are 7.2402, 12.6106 and 7.2803 Å and the angles 90.00°, 109.47° and 90.00°. Symmetry generates all atoms from Pm at (0.0000, 0.0000, 0.0000), Nd at (0.0000, 0.3333, 0.0000), Sm at (0.0000, 0.1680, 0.5000), Sm at (0.0000, 0.5000, 0.5000), Se at (0.2463, 0.0000, 0.7451) and Se at (0.2503, 0.1657, 0.2537).

The value obtained for the energy relative to the elements, uncorrected is -1.830 eV per atom.



(13)
Nd2SiS4: optimized geometry, PBE.

The structure belongs to space group I-42m (No. 121); the cell edges are 7.2853, 7.2853 and 7.6643 Å and the angles 90.00°, 90.00° and 90.00°. Symmetry generates all atoms from Nd at (0.0000, 0.5000, 0.2500), Si at (0.0000, 0.0000, 0.0000) and S at (0.1841, 0.1841, 0.1331).

The value obtained for the energy relative to the elements, uncorrected is -1.151 eV per atom.



(14)
HfRePd2: optimized geometry, PBE.

The structure belongs to space group Fm-3m (No. 225); the cell edges are 6.4453, 6.4453 and 6.4453 Å and the angles 90.00°, 90.00° and 90.00°. Symmetry generates all atoms from Hf at (0.0000, 0.0000, 0.0000), Re at (0.0000, 0.0000, 0.5000) and Pd at (0.2500, 0.2500, 0.2500).

The value obtained for the offset from the most stable computed form is 0 meV/atom. The formation enthalpy at 0 K is 13.0 meV per atom.



(15)
CaYCu3Se4: optimized geometry, PBE.

The structure belongs to space group P-43m (No. 215); the cell edges are 6.1911, 6.1911 and 6.1911 Å and the angles 90.00°, 90.00° and 90.00°. Symmetry generates all atoms from Ca at (0.0000, 0.0000, 0.0000), Y at (0.5000, 0.5000, 0.5000), Cu at (0.0000, 0.5000, 0.5000) and Se at (0.2564, 0.2564, 0.7436).

The value obtained for the energy relative to the elements, uncorrected is -0.813 eV per atom.



(16)
Pr5HoEr6: optimized geometry, PBE.

The structure belongs to space group Immm (No. 71); the cell edges are 5.1176, 10.0475 and 15.3207 Å and the angles 90.00°, 90.00° and 90.00°. Symmetry generates all atoms from Pr at (0.0000, 0.0000, 0.0000), Pr at (0.0000, 0.0000, 0.3355), Pr at (0.0000, 0.5000, 0.3333), Ho at (0.0000, 0.5000, 0.0000), Er at (0.0000, 0.2482, 0.5000) and Er at (0.0000, 0.2510, 0.1661).

The formation enthalpy at 0 K is 22.1 meV per atom.



(17)
Sm7YEr5: optimized geometry, PBE.

The structure belongs to space group Imm2 (No. 44); the cell edges are 6.6981, 11.2817 and 11.5967 Å and the angles 90.00°, 90.00° and 90.00°. Symmetry generates all atoms from Sm at (0.0000, 0.0000, 0.0000), Sm at (0.0000, 0.0000, 0.3081), Sm at (0.0000, 0.3258, 0.2476), Sm at (0.0000, 0.3281, 0.7516), Sm at (0.0000, 0.5000, 0.4967), Y at (0.0000, 0.0000, 0.6889), Er at (0.0000, 0.5000, 0.0017) and Er at (0.2335, 0.2301, 0.5007).

The formation enthalpy at 0 K is 233.8 meV per atom.



(18)
Be2AlFe: optimized geometry, PBE.

The structure belongs to space group P4mm (No. 99); the cell edges are 2.7599, 2.7599 and 5.4301 Å and the angles 90.00°, 90.00° and 90.00°. Symmetry generates all atoms from Be at (0.0000, 0.0000, 0.0000), Be at (0.5000, 0.5000, 0.2101), Al at (0.5000, 0.5000, 0.6883) and Fe at (0.0000, 0.0000, 0.4183).

The formation enthalpy at 0 K is -62.1 meV per atom.



(19)
As2Pd3Pb2: optimized geometry, PBE.

The structure belongs to space group C2/m (No. 12); the cell edges are 14.7904, 4.5451 and 4.4119 Å and the angles 90.00°, 92.76° and 90.00°. Symmetry generates all atoms from As at (0.1579, 0.0000, 0.2352), Pd at (0.0000, 0.0000, 0.0000), Pd at (0.2432, 0.5000, 0.2341) and Pb at (0.0987, 0.5000, 0.7332).

The formation enthalpy at 0 K is -233.9 meV per atom.



(20)
TbMgAl2Ag5: optimized geometry, PBE.

The structure belongs to space group P4/mmm (No. 123); the cell edges are 4.8144, 4.8144 and 7.9730 Å and the angles 90.00°, 90.00° and 90.00°. Symmetry generates all atoms from Tb at (0.0000, 0.0000, 0.0000), Mg at (0.0000, 0.0000, 0.5000), Al at (0.5000, 0.5000, 0.3425), Ag at (0.0000, 0.5000, 0.2311) and Ag at (0.5000, 0.5000, 0.0000).

The formation enthalpy at 0 K is -58.6 meV per atom.



| no. | ρ (g cm⁻³) | V (A^3/atom) | magnetic moment (μB per formula unit) |
| --- | --- | --- | --- |
| 1 | 2.80 | 37.36 | 0.20 |
| 2 | 7.99 | 29.70 | 0.00 |
| 3 | 3.66 | 19.08 | 0.08 |
| 4 | 6.72 | 20.06 | 0.00 |
| 5 | 16.46 | 16.58 | 4.64 |
| 6 | 5.86 | 51.45 | 0.00 |
| 7 | 7.77 | 15.74 | 0.00 |
| 8 | 5.70 | 28.85 | 0.00 |
| 9 | 5.28 | 25.83 | 0.00 |
| 10 | 9.30 | 16.18 | 19.22 |
| 11 | 4.06 | 21.68 | 0.00 |
| 12 | 7.20 | 26.11 | 0.00 |
| 13 | 3.63 | 29.06 | 0.00 |
| 14 | 14.33 | 16.73 | 1.45 |
| 15 | 4.45 | 26.37 | 0.00 |
| 16 | 7.90 | 32.82 | 0.00 |
| 17 | 7.50 | 33.70 | 0.00 |
| 18 | 4.05 | 10.34 | 0.44 |
| 19 | 9.90 | 21.16 | 0.00 |
| 20 | 6.98 | 20.53 | 0.00 |